Entry 1:
CSe: optimized geometry, GGA-PBE. Values from VASP.

Output
Its density is 1.56 g cm⁻³. Its energy is -4.46 eV per atom. The relative energy among the computed polymorphs comes out at 1385.3 meV per atom. The magnetic moment comes out at 0.0 μB per formula unit. The energy relative to the elements, uncorrected comes out at 1.89 eV/atom.

```
&SYSTEM
  ibrav = 0, nat = 4, ntyp = 2
/
ATOMIC_SPECIES
C 12.01 C.upf
Se 78.96 Se.upf
ATOMIC_POSITIONS angstrom
C 1.379 1.643 0.249
C 4.138 4.930 5.082
Se 1.379 1.643 3.892
Se 4.138 4.930 1.439
CELL_PARAMETERS angstrom
5.518 0.000 0.000
0.000 6.574 0.000
0.000 0.000 5.331
```



Entry 2:
CSe5: optimized geometry, GGA-PBE. Values from VASP.

Output
Its density is 5.81 g cm⁻³. Its energy is -3.38 eV per atom. The relative energy among the computed polymorphs comes out at 518.0 meV per atom. The magnetic moment comes out at 0.0 μB per formula unit. The energy relative to the elements, uncorrected comes out at 1.06 eV/atom.

```
&SYSTEM
  ibrav = 0, nat = 6, ntyp = 2
/
ATOMIC_SPECIES
C 12.01 C.upf
Se 78.96 Se.upf
ATOMIC_POSITIONS angstrom
C 0.000 0.000 0.000
Se -2.294 3.974 1.722
Se 0.829 1.436 1.722
Se 0.000 3.606 0.000
Se 3.123 1.803 0.000
Se 4.588 0.000 1.722
CELL_PARAMETERS angstrom
6.247 0.000 0.000
-3.123 5.410 0.000
0.000 0.000 3.443
```



Entry 3:
C5Se4: optimized geometry, GGA-PBE. Values from VASP.

Output
Its density is 4.67 g cm⁻³. Its energy is -5.50 eV per atom. The relative energy among the computed polymorphs comes out at 0.0 meV per atom. The magnetic moment comes out at 0.0 μB per formula unit. The energy relative to the elements, uncorrected comes out at 1.17 eV/atom.

```
&SYSTEM
  ibrav = 0, nat = 9, ntyp = 2
/
ATOMIC_SPECIES
C 12.01 C.upf
Se 78.96 Se.upf
ATOMIC_POSITIONS angstrom
C 0.000 0.000 0.000
C 2.344 2.344 0.000
C 2.785 -2.785 1.270
C -2.785 2.785 1.270
C 2.785 2.785 1.270
Se 2.369 0.000 0.000
Se 7.888 0.000 0.000
Se 0.000 2.369 0.000
Se 0.000 7.888 0.000
CELL_PARAMETERS angstrom
-5.129 5.129 1.270
5.129 -5.129 1.270
5.129 5.129 -1.270
```



Entry 4:
CSe: optimized geometry, GGA-PBE. Values from VASP.

Output
Its density is 3.04 g cm⁻³. Its energy is -5.49 eV per atom. The relative energy among the computed polymorphs comes out at 359.6 meV per atom. The magnetic moment comes out at 0.0 μB per formula unit. The energy relative to the elements, uncorrected comes out at 0.86 eV/atom.

```
&SYSTEM
  ibrav = 0, nat = 8, ntyp = 2
/
ATOMIC_SPECIES
C 12.01 C.upf
Se 78.96 Se.upf
ATOMIC_POSITIONS angstrom
C 0.000 0.622 0.000
C 0.000 9.105 0.000
C 2.901 4.241 0.000
C 2.901 5.485 0.000
Se 0.000 2.408 0.000
Se 0.000 7.318 0.000
Se 2.901 2.455 0.000
Se 2.901 7.271 0.000
CELL_PARAMETERS angstrom
5.802 0.000 0.000
0.000 9.726 0.000
0.000 0.000 3.517
```



Entry 5:
C2Se: optimized geometry, GGA-PBE. Values from VASP.

Output
Its density is 3.17 g cm⁻³. Its energy is -5.33 eV per atom. The relative energy among the computed polymorphs comes out at 1704.9 meV per atom. The magnetic moment comes out at 0.0 μB per formula unit. The energy relative to the elements, uncorrected comes out at 1.98 eV/atom.

```
&SYSTEM
  ibrav = 0, nat = 6, ntyp = 2
/
ATOMIC_SPECIES
C 12.01 C.upf
Se 78.96 Se.upf
ATOMIC_POSITIONS angstrom
C 0.000 0.000 0.640
C 0.000 0.000 4.643
C 2.259 2.259 2.001
C 2.259 2.259 3.281
Se 0.000 0.000 2.641
Se 2.259 2.259 0.000
CELL_PARAMETERS angstrom
4.518 0.000 0.000
0.000 4.518 0.000
0.000 0.000 5.283
```



Entry 6:
CSe5: optimized geometry, GGA-PBE. Values from VASP.

Output
Its density is 5.44 g cm⁻³. Its energy is -2.73 eV per atom. The relative energy among the computed polymorphs comes out at 1168.1 meV per atom. The magnetic moment comes out at 1.6 μB per formula unit. The energy relative to the elements, uncorrected comes out at 1.71 eV/atom.

```
&SYSTEM
  ibrav = 0, nat = 6, ntyp = 2
/
ATOMIC_SPECIES
C 12.01 C.upf
Se 78.96 Se.upf
ATOMIC_POSITIONS angstrom
C 0.000 0.000 0.000
Se 2.987 2.987 2.987
Se 4.930 4.930 2.987
Se 4.930 2.987 4.930
Se 5.938 5.938 5.938
Se 2.987 4.930 4.930
CELL_PARAMETERS angstrom
0.000 3.959 3.959
3.959 0.000 3.959
3.959 3.959 0.000
```



Entry 7:
CSe: optimized geometry, GGA-PBE. Values from VASP.

Output
Its density is 4.14 g cm⁻³. Its energy is -5.83 eV per atom. The relative energy among the computed polymorphs comes out at 18.2 meV per atom. The magnetic moment comes out at 0.2 μB per formula unit. The energy relative to the elements, uncorrected comes out at 0.52 eV/atom.

```
&SYSTEM
  ibrav = 0, nat = 12, ntyp = 2
/
ATOMIC_SPECIES
C 12.01 C.upf
Se 78.96 Se.upf
ATOMIC_POSITIONS angstrom
C 0.000 0.000 6.116
C 0.000 0.000 30.580
C 0.000 1.515 18.348
C 0.000 1.515 30.580
C 1.312 0.757 6.116
C 1.312 0.757 18.348
Se 0.000 0.000 13.926
Se 0.000 0.000 22.770
Se 0.000 1.515 1.694
Se 0.000 1.515 10.538
Se 1.312 0.757 26.158
Se 1.312 0.757 35.002
CELL_PARAMETERS angstrom
2.624 0.000 0.000
-1.312 2.272 0.000
0.000 0.000 36.696
```



Entry 8:
CSe3: optimized geometry, GGA-PBE. Values from VASP.

Output
Its density is 4.82 g cm⁻³. Its energy is -3.81 eV per atom. The relative energy among the computed polymorphs comes out at 544.0 meV per atom. The magnetic moment comes out at 0.0 μB per formula unit. The energy relative to the elements, uncorrected comes out at 1.11 eV/atom.

```
&SYSTEM
  ibrav = 0, nat = 8, ntyp = 2
/
ATOMIC_SPECIES
C 12.01 C.upf
Se 78.96 Se.upf
ATOMIC_POSITIONS angstrom
C 0.000 0.000 0.000
C 4.375 1.405 0.000
Se -0.756 1.405 3.487
Se 0.800 1.405 1.290
Se 2.063 0.000 5.683
Se 3.619 0.000 3.487
Se 5.176 0.000 1.290
Se 6.438 1.405 5.683
CELL_PARAMETERS angstrom
8.751 0.000 0.000
0.000 2.809 0.000
-1.512 0.000 6.973
```



Entry 9:
C2Se: optimized geometry, GGA-PBE. Values from VASP.

Output
Its density is 5.23 g cm⁻³. Its energy is -5.25 eV per atom. The relative energy among the computed polymorphs comes out at 1789.0 meV per atom. The magnetic moment comes out at 0.0 μB per formula unit. The energy relative to the elements, uncorrected comes out at 2.06 eV/atom.

```
&SYSTEM
  ibrav = 0, nat = 12, ntyp = 2
/
ATOMIC_SPECIES
C 12.01 C.upf
Se 78.96 Se.upf
ATOMIC_POSITIONS angstrom
C 0.471 1.912 0.000
C 0.471 2.854 2.880
C 1.912 0.471 2.880
C 1.912 4.295 0.000
C 2.854 0.471 0.000
C 2.854 4.295 2.880
C 4.295 1.912 2.880
C 4.295 2.854 0.000
Se 0.000 0.000 1.440
Se 0.000 0.000 4.321
Se 2.383 2.383 1.440
Se 2.383 2.383 4.321
CELL_PARAMETERS angstrom
4.766 0.000 0.000
0.000 4.766 0.000
0.000 0.000 5.761
```



Entry 10:
C2Se: optimized geometry, GGA-PBE. Values from VASP.

Output
Its density is 3.50 g cm⁻³. Its energy is -5.75 eV per atom. The relative energy among the computed polymorphs comes out at 1287.2 meV per atom. The magnetic moment comes out at 0.0 μB per formula unit. The energy relative to the elements, uncorrected comes out at 1.56 eV/atom.

```
&SYSTEM
  ibrav = 0, nat = 12, ntyp = 2
/
ATOMIC_SPECIES
C 12.01 C.upf
Se 78.96 Se.upf
ATOMIC_POSITIONS angstrom
C 0.000 0.000 0.000
C -0.069 0.000 4.213
C 1.338 0.000 0.212
C 4.222 0.000 2.126
C 5.799 1.554 0.000
C 5.730 1.554 4.213
C 7.137 1.554 0.212
C 10.021 1.554 2.126
Se 0.243 1.554 2.941
Se 4.060 1.554 0.843
Se 6.042 0.000 2.941
Se 9.859 0.000 0.843
CELL_PARAMETERS angstrom
11.598 0.000 0.000
0.000 3.108 0.000
-0.814 0.000 5.415
```



Entry 11:
C3Se4: optimized geometry, GGA-PBE. Values from VASP.

Output
Its density is 4.54 g cm⁻³. Its energy is -3.68 eV per atom. The relative energy among the computed polymorphs comes out at 746.7 meV per atom. The magnetic moment comes out at 0.0 μB per formula unit. The energy relative to the elements, uncorrected comes out at 2.26 eV/atom.

```
&SYSTEM
  ibrav = 0, nat = 7, ntyp = 2
/
ATOMIC_SPECIES
C 12.01 C.upf
Se 78.96 Se.upf
ATOMIC_POSITIONS angstrom
C -1.062 1.839 0.000
C 2.124 0.000 0.000
C 1.062 1.839 0.000
Se 0.000 0.000 1.345
Se 0.000 0.000 6.892
Se 0.000 2.452 4.118
Se 2.124 1.226 4.118
CELL_PARAMETERS angstrom
4.248 0.000 0.000
-2.124 3.679 0.000
0.000 0.000 8.237
```



Entry 12:
C2Se: optimized geometry, GGA-PBE. Values from VASP.

Output
Its density is 2.43 g cm⁻³. Its energy is -6.31 eV per atom. The relative energy among the computed polymorphs comes out at 733.9 meV per atom. The magnetic moment comes out at 0.0 μB per formula unit. The energy relative to the elements, uncorrected comes out at 1.01 eV/atom.

```
&SYSTEM
  ibrav = 0, nat = 12, ntyp = 2
/
ATOMIC_SPECIES
C 12.01 C.upf
Se 78.96 Se.upf
ATOMIC_POSITIONS angstrom
C 0.249 0.000 2.120
C 5.413 0.000 0.000
C 4.671 1.378 4.721
C 9.835 1.378 2.602
C 11.073 1.378 2.120
C 15.495 0.000 4.721
C 16.237 1.378 0.000
C 20.659 0.000 2.602
Se 1.408 1.378 1.664
Se 8.676 0.000 3.057
Se 12.232 0.000 1.664
Se 19.500 1.378 3.057
CELL_PARAMETERS angstrom
21.648 0.000 0.000
0.000 2.756 0.000
-0.741 0.000 4.722
```



Entry 13:
C2Se: optimized geometry, GGA-PBE. Values from VASP.

Output
Its density is 2.38 g cm⁻³. Its energy is -6.64 eV per atom. The relative energy among the computed polymorphs comes out at 400.9 meV per atom. The magnetic moment comes out at 0.0 μB per formula unit. The energy relative to the elements, uncorrected comes out at 0.67 eV/atom.

```
&SYSTEM
  ibrav = 0, nat = 12, ntyp = 2
/
ATOMIC_SPECIES
C 12.01 C.upf
Se 78.96 Se.upf
ATOMIC_POSITIONS angstrom
C 3.498 0.000 1.131
C 3.500 1.283 1.132
C 5.563 0.000 4.371
C 5.564 1.283 4.372
C 13.666 0.000 1.132
C 13.664 1.283 1.131
C 15.731 0.000 4.372
C 15.729 1.283 4.371
Se -0.558 0.000 4.004
Se 9.620 1.283 1.499
Se 9.609 1.283 4.004
Se 19.786 0.000 1.499
CELL_PARAMETERS angstrom
20.333 0.000 0.000
0.000 2.566 0.000
-1.104 0.000 5.503
```